(1)
VASP calculation (PBE) on FeCo4Pt3 after structural relaxation.

* crystal system: orthorhombic
* E_form: -0.946 eV per formula unit

The structure in extended XYZ format:
```
8
Lattice="-2.911 -1.945 1.203 2.269 -2.979 0.676 1.517 4.936 5.956" Properties=species:S:1:pos:R:3 pbc="T T T"
Co -0.854 0.272 4.070
Co 1.729 -0.260 3.765
Co 0.875 1.811 5.046
Co 0.000 -1.799 2.789
Fe -1.456 -0.972 0.601
Pt 1.135 -1.489 0.338
Pt 0.563 -0.633 6.036
Pt 0.312 0.645 1.799
```

=====

(2)
VASP calculation (PBE) on FeCo3Pt12 after structural relaxation.

* crystal system: tetragonal
* E_form: -1.668 eV per formula unit

The structure in extended XYZ format:
```
16
Lattice="3.901 0.000 0.000 0.000 3.901 0.000 0.000 0.000 15.522" Properties=species:S:1:pos:R:3 pbc="T T T"
Fe 0.000 0.000 0.000
Co 0.000 0.000 3.899
Co 0.000 0.000 7.761
Co 0.000 0.000 11.623
Pt 1.950 1.950 0.000
Pt 1.950 1.950 3.889
Pt 1.950 1.950 7.761
Pt 1.950 1.950 11.633
Pt 1.950 0.000 1.947
Pt 1.950 0.000 5.824
Pt 1.950 0.000 9.698
Pt 1.950 0.000 13.576
Pt 0.000 1.950 1.947
Pt 0.000 1.950 5.824
Pt 0.000 1.950 9.698
Pt 0.000 1.950 13.576
```

=====

(3)
VASP calculation (PBE) on Fe3CoPt after structural relaxation.

* crystal system: orthorhombic
* energy above the lowest structure with this stoichiometry: 0.000 eV per atom
* E_form: 2.574 eV per formula unit

The structure in extended XYZ format:
```
5
Lattice="3.398 0.000 0.000 0.000 4.162 -2.315 0.000 -0.091 4.761" Properties=species:S:1:pos:R:3 pbc="T T T"
Fe 1.699 0.314 1.645
Fe 1.699 2.470 2.941
Fe 0.000 1.002 2.943
Co 1.699 0.253 4.188
Pt 0.000 2.429 0.568
```

=====

no.,N(E_F) (states/eV per cell)
1,8.1
2,22.9
3,5.6